Computed, not measured: crystalline HoNiTe2O8 at its relaxed geometry at the GGA+U level of DFT.

```
data_HoNiTe2O8
_chemical_formula_sum 'Ho1 Ni1 Te2 O8'
_space_group_name_H-M_alt 'P 1'
_space_group_IT_number 1
_space_group_name_Hall 'P 1'
_cell_length_a 5.993
_cell_length_b 5.993
_cell_length_c 6.068
_cell_angle_alpha 90.00
_cell_angle_beta 90.00
_cell_angle_gamma 120.00
loop_
_atom_site_label
_atom_site_type_symbol
_atom_site_fract_x
_atom_site_fract_y
_atom_site_fract_z
Ho1 Ho 0.000 0.000 0.000
Ni1 Ni 0.000 0.000 0.500
Te1 Te 0.333 0.667 0.659
Te2 Te 0.667 0.333 0.341
O1 O 0.154 0.307 0.739
O2 O 0.154 0.846 0.739
O3 O 0.307 0.154 0.261
O4 O 0.333 0.667 0.361
O5 O 0.667 0.333 0.639
O6 O 0.693 0.846 0.739
O7 O 0.846 0.154 0.261
O8 O 0.846 0.693 0.261
```

## Properties
The symmetry is P-3m1, No. 164. The total magnetic moment comes out at 0.134 μB/atom. Its crystal system is trigonal. The raw total energy is -68.5 eV for the cell shown. As for the density of states at the Fermi level: 2.99 states/eV/f.u.